--- A ---
A geometry-optimized Al2W11 structure. Source: OQMD, functional PBE-GGA.

Output
- Magnetization: 0.01 μB/f.u.
- Symmetry: R-3m

Cell lengths 9.7168, 9.7168, 9.7168 Å; angles 31.18, 31.18, 31.18 degrees
Last column: nearest neighbours and their distance in Å.
Element x y z (fractional)
1 Al 0.1666 0.1666 0.1666  6 W 2.86-2.87, 3 Al 3.02
2 Al 0.8334 0.8334 0.8334  6 W 2.86-2.87, 3 Al 3.02
3 W 0.0000 0.0000 0.0000  6 W 2.66
4 W 0.0890 0.0890 0.5858  7 W 2.59-2.84, 2 Al 2.86-2.87
5 W 0.0890 0.5858 0.0890  7 W 2.59-2.84, 2 Al 2.86-2.87
6 W 0.3474 0.3474 0.3474  16 W 2.91-3.17
7 W 0.4142 0.9110 0.9110  7 W 2.59-2.84, 2 Al 2.86-2.87
8 W 0.4526 0.4526 0.4526  8 W 2.63-2.91
9 W 0.5474 0.5474 0.5474  8 W 2.63-2.91
10 W 0.5858 0.0890 0.0890  7 W 2.59-2.84, 2 Al 2.86-2.87
11 W 0.6526 0.6526 0.6526  16 W 2.91-3.17
12 W 0.9110 0.4142 0.9110  7 W 2.59-2.84, 2 Al 2.86-2.87
13 W 0.9110 0.9110 0.4142  7 W 2.59-2.84, 2 Al 2.86-2.87

--- B ---
A geometry-optimized Al2W11 structure. Source: OQMD, functional PBE-GGA.

Output
- Magnetization: 0.01 μB/f.u.
- Symmetry: R-3m

Cell lengths 9.7882, 9.7882, 9.7882 Å; angles 30.90, 30.90, 30.90 degrees
Last column: nearest neighbours and their distance in Å.
Element x y z (fractional)
1 Al 0.1499 0.1499 0.1499  13 W 2.94-3.12, 3 Al 3.15
2 Al 0.8501 0.8501 0.8501  13 W 2.94-3.12, 3 Al 3.15
3 W 0.0447 0.0447 0.0447  1 W 2.50
4 W 0.0854 0.5903 0.5903  8 W 2.58-2.89
5 W 0.3332 0.3332 0.3332  9 W 2.89-3.01
6 W 0.4097 0.4097 0.9146  8 W 2.58-2.89
7 W 0.4097 0.9146 0.4097  8 W 2.58-2.89
8 W 0.5000 0.5000 0.5000  6 W 2.66
9 W 0.5903 0.0854 0.5903  8 W 2.58-2.89
10 W 0.5903 0.5903 0.0854  8 W 2.58-2.89
11 W 0.6668 0.6668 0.6668  9 W 2.89-3.01
12 W 0.9146 0.4097 0.4097  8 W 2.58-2.89
13 W 0.9553 0.9553 0.9553  1 W 2.50

Result of the stability comparison: A is the most stable of them.

--- A ---
A geometry-optimized Al11W4 structure. Source: OQMD, functional PBE-GGA.

Output
- Magnetization: 0.01 μB/f.u.
- Symmetry: P4_2/mnm

Cell lengths 9.6502, 9.6502, 5.0317 Å; angles 90.00, 90.00, 90.00 degrees
Last column: nearest neighbours and their distance in Å.
Element x y z (fractional)
1 Al 0.0000 0.0000 0.0000  12 Al 2.58-2.89
2 Al 0.0541 0.2622 0.0000  6 Al 2.58-2.84, 4 W 2.67-2.74
3 Al 0.0987 0.0987 0.5000  2 W 2.66, 3 Al 2.69-2.85
4 Al 0.1903 0.8097 0.2511  6 Al 2.50-2.80
5 Al 0.1903 0.8097 0.7489  6 Al 2.50-2.80
6 Al 0.2378 0.5541 0.5000  6 Al 2.58-2.84, 4 W 2.67-2.74
7 Al 0.2622 0.0541 0.0000  6 Al 2.58-2.84, 4 W 2.67-2.74
8 Al 0.3097 0.3097 0.2489  6 Al 2.50-2.80
9 Al 0.3097 0.3097 0.7511  6 Al 2.50-2.80
10 Al 0.4013 0.5987 0.0000  2 W 2.66, 3 Al 2.69-2.85
11 Al 0.4459 0.7622 0.5000  6 Al 2.58-2.84, 4 W 2.67-2.74
12 Al 0.5000 0.5000 0.5000  12 Al 2.58-2.89
13 Al 0.5541 0.2378 0.5000  6 Al 2.58-2.84, 4 W 2.67-2.74
14 Al 0.5987 0.4013 0.0000  2 W 2.66, 3 Al 2.69-2.85
15 Al 0.6903 0.6903 0.2489  6 Al 2.50-2.80
16 Al 0.6903 0.6903 0.7511  6 Al 2.50-2.80
17 Al 0.7378 0.9459 0.0000  6 Al 2.58-2.84, 4 W 2.67-2.74
18 Al 0.7622 0.4459 0.5000  6 Al 2.58-2.84, 4 W 2.67-2.74
19 Al 0.8097 0.1903 0.2511  6 Al 2.50-2.80
20 Al 0.8097 0.1903 0.7489  6 Al 2.50-2.80
21 Al 0.9013 0.9013 0.5000  2 W 2.66, 3 Al 2.69-2.85
22 Al 0.9459 0.7378 0.0000  6 Al 2.58-2.84, 4 W 2.67-2.74
23 W 0.0264 0.3647 0.5000  7 Al 2.66-2.96, 1 W 2.66
24 W 0.1353 0.5264 0.0000  7 Al 2.66-2.96, 1 W 2.66
25 W 0.3647 0.0264 0.5000  7 Al 2.66-2.96, 1 W 2.66
26 W 0.4736 0.8647 0.0000  7 Al 2.66-2.96, 1 W 2.66
27 W 0.5264 0.1353 0.0000  7 Al 2.66-2.96, 1 W 2.66
28 W 0.6353 0.9736 0.5000  7 Al 2.66-2.96, 1 W 2.66
29 W 0.8647 0.4736 0.0000  7 Al 2.66-2.96, 1 W 2.66
30 W 0.9736 0.6353 0.5000  7 Al 2.66-2.96, 1 W 2.66

--- B ---
A geometry-optimized Al11W4 structure. Source: OQMD, functional PBE-GGA.

Output
- Magnetization: 0.02 μB/f.u.
- Symmetry: P4_2/mnm

Cell lengths 9.7116, 9.7116, 5.0891 Å; angles 90.00, 90.00, 90.00 degrees
Last column: nearest neighbours and their distance in Å.
Element x y z (fractional)
1 Al 0.0000 0.0000 0.0000  4 W 2.62, 8 Al 2.72-2.91
2 Al 0.0381 0.3717 0.5000  2 Al 2.60-2.69, 4 W 2.76-2.79
3 Al 0.1023 0.1023 0.5000  5 Al 2.69-2.91, 4 W 2.98
4 Al 0.1283 0.5381 0.0000  2 Al 2.60-2.69, 4 W 2.76-2.79
5 Al 0.1756 0.8244 0.2488  3 Al 2.53-2.72, 2 W 2.82
6 Al 0.1756 0.8244 0.7512  3 Al 2.53-2.72, 2 W 2.82
7 Al 0.3244 0.3244 0.2512  3 Al 2.53-2.72, 2 W 2.82
8 Al 0.3244 0.3244 0.7488  3 Al 2.53-2.72, 2 W 2.82
9 Al 0.3717 0.0381 0.5000  2 Al 2.60-2.69, 4 W 2.76-2.79
10 Al 0.3977 0.6023 0.0000  5 Al 2.69-2.91, 4 W 2.98
11 Al 0.4619 0.8717 0.0000  2 Al 2.60-2.69, 4 W 2.76-2.79
12 Al 0.5000 0.5000 0.5000  4 W 2.62, 8 Al 2.72-2.91
13 Al 0.5381 0.1283 0.0000  2 Al 2.60-2.69, 4 W 2.76-2.79
14 Al 0.6023 0.3977 0.0000  5 Al 2.69-2.91, 4 W 2.98
15 Al 0.6283 0.9619 0.5000  2 Al 2.60-2.69, 4 W 2.76-2.79
16 Al 0.6756 0.6756 0.2512  3 Al 2.53-2.72, 2 W 2.82
17 Al 0.6756 0.6756 0.7488  3 Al 2.53-2.72, 2 W 2.82
18 Al 0.8244 0.1756 0.2488  3 Al 2.53-2.72, 2 W 2.82
19 Al 0.8244 0.1756 0.7512  3 Al 2.53-2.72, 2 W 2.82
20 Al 0.8717 0.4619 0.0000  2 Al 2.60-2.69, 4 W 2.76-2.79
21 Al 0.8977 0.8977 0.5000  5 Al 2.69-2.91, 4 W 2.98
22 Al 0.9619 0.6283 0.5000  2 Al 2.60-2.69, 4 W 2.76-2.79
23 W 0.0740 0.2592 0.0000  1 W 2.54, 7 Al 2.62-2.82
24 W 0.2408 0.5740 0.5000  1 W 2.54, 7 Al 2.62-2.82
25 W 0.2592 0.0740 0.0000  1 W 2.54, 7 Al 2.62-2.82
26 W 0.4260 0.7592 0.5000  1 W 2.54, 7 Al 2.62-2.82
27 W 0.5740 0.2408 0.5000  1 W 2.54, 7 Al 2.62-2.82
28 W 0.7408 0.9260 0.0000  1 W 2.54, 7 Al 2.62-2.82
29 W 0.7592 0.4260 0.5000  1 W 2.54, 7 Al 2.62-2.82
30 W 0.9260 0.7408 0.0000  1 W 2.54, 7 Al 2.62-2.82

--- C ---
A geometry-optimized Al11W4 structure. Source: OQMD, functional PBE-GGA.

Output
- Magnetization: 0.00 μB/f.u.
- Symmetry: P4_2/mnm

Cell lengths 9.3540, 9.3540, 5.3348 Å; angles 90.00, 90.00, 90.00 degrees
Last column: nearest neighbours and their distance in Å.
Element x y z (fractional)
1 Al 0.0000 0.0000 0.0000  4 Al 2.57, 4 W 2.75
2 Al 0.0403 0.3623 0.5000  6 Al 2.54-2.82
3 Al 0.0663 0.2668 0.0000  6 Al 2.57-2.82, 4 W 2.75-2.79
4 Al 0.0968 0.0968 0.5000  3 Al 2.54-2.56
5 Al 0.1377 0.5403 0.0000  6 Al 2.54-2.82
6 Al 0.2332 0.5663 0.5000  6 Al 2.57-2.82, 4 W 2.75-2.79
7 Al 0.2668 0.0663 0.0000  6 Al 2.57-2.82, 4 W 2.75-2.79
8 Al 0.3623 0.0403 0.5000  6 Al 2.54-2.82
9 Al 0.4032 0.5968 0.0000  3 Al 2.54-2.56
10 Al 0.4337 0.7668 0.5000  6 Al 2.57-2.82, 4 W 2.75-2.79
11 Al 0.4597 0.8623 0.0000  6 Al 2.54-2.82
12 Al 0.5000 0.5000 0.5000  4 Al 2.57, 4 W 2.75
13 Al 0.5403 0.1377 0.0000  6 Al 2.54-2.82
14 Al 0.5663 0.2332 0.5000  6 Al 2.57-2.82, 4 W 2.75-2.79
15 Al 0.5968 0.4032 0.0000  3 Al 2.54-2.56
16 Al 0.6377 0.9597 0.5000  6 Al 2.54-2.82
17 Al 0.7332 0.9337 0.0000  6 Al 2.57-2.82, 4 W 2.75-2.79
18 Al 0.7668 0.4337 0.5000  6 Al 2.57-2.82, 4 W 2.75-2.79
19 Al 0.8623 0.4597 0.0000  6 Al 2.54-2.82
20 Al 0.9032 0.9032 0.5000  3 Al 2.54-2.56
21 Al 0.9337 0.7332 0.0000  6 Al 2.57-2.82, 4 W 2.75-2.79
22 Al 0.9597 0.6377 0.5000  6 Al 2.54-2.82
23 W 0.1815 0.8185 0.2516  2 W 2.65-2.68, 7 Al 2.75-2.96
24 W 0.1815 0.8185 0.7484  2 W 2.65-2.68, 7 Al 2.75-2.96
25 W 0.3185 0.3185 0.2484  2 W 2.65-2.68, 7 Al 2.75-2.96
26 W 0.3185 0.3185 0.7516  2 W 2.65-2.68, 7 Al 2.75-2.96
27 W 0.6815 0.6815 0.2484  2 W 2.65-2.68, 7 Al 2.75-2.96
28 W 0.6815 0.6815 0.7516  2 W 2.65-2.68, 7 Al 2.75-2.96
29 W 0.8185 0.1815 0.2516  2 W 2.65-2.68, 7 Al 2.75-2.96
30 W 0.8185 0.1815 0.7484  2 W 2.65-2.68, 7 Al 2.75-2.96

Result of the stability comparison: C is the most stable of them.

--- A ---
A geometry-optimized AlW5 structure. Source: OQMD, functional PBE-GGA.

Output
- Magnetization: 0.00 μB/f.u.
- Symmetry: P6_3/mmc

Cell lengths 5.2378, 5.2378, 17.1786 Å; angles 90.00, 90.00, 120.00 degrees
Last column: nearest neighbours and their distance in Å.
Element x y z (fractional)
1 Al 0.0000 0.0000 0.0938  15 W 3.06-3.20, 1 Al 3.22
2 Al 0.0000 0.0000 0.4062  15 W 3.06-3.20, 1 Al 3.22
3 Al 0.0000 0.0000 0.5938  15 W 3.06-3.20, 1 Al 3.22
4 Al 0.0000 0.0000 0.9062  15 W 3.06-3.20, 1 Al 3.22
5 W 0.0000 0.5000 0.0000  6 W 2.62-2.65
6 W 0.0000 0.5000 0.5000  6 W 2.62-2.65
7 W 0.1621 0.3243 0.2500  6 W 2.55-2.69
8 W 0.1621 0.8379 0.2500  6 W 2.55-2.69
9 W 0.3243 0.1621 0.7500  6 W 2.55-2.69
10 W 0.3333 0.6667 0.1267  6 W 2.63-2.65
11 W 0.3333 0.6667 0.3733  6 W 2.63-2.65
12 W 0.3333 0.6667 0.6548  13 W 3.06-3.27, 3 Al 3.20
13 W 0.3333 0.6667 0.8452  13 W 3.06-3.27, 3 Al 3.20
14 W 0.5000 0.0000 0.0000  6 W 2.62-2.65
15 W 0.5000 0.0000 0.5000  6 W 2.62-2.65
16 W 0.5000 0.5000 0.0000  6 W 2.62-2.65
17 W 0.5000 0.5000 0.5000  6 W 2.62-2.65
18 W 0.6667 0.3333 0.1548  13 W 3.06-3.27, 3 Al 3.20
19 W 0.6667 0.3333 0.3452  13 W 3.06-3.27, 3 Al 3.20
20 W 0.6667 0.3333 0.6267  6 W 2.63-2.65
21 W 0.6667 0.3333 0.8733  6 W 2.63-2.65
22 W 0.6757 0.8379 0.2500  6 W 2.55-2.69
23 W 0.8379 0.1621 0.7500  6 W 2.55-2.69
24 W 0.8379 0.6757 0.7500  6 W 2.55-2.69

--- B ---
A geometry-optimized AlW5 structure. Source: OQMD, functional PBE-GGA.

Output
- Magnetization: 0.00 μB/f.u.
- Symmetry: P6_3/mmc

Cell lengths 5.1748, 5.1748, 8.4362 Å; angles 90.00, 90.00, 120.00 degrees
Last column: nearest neighbours and their distance in Å.
Element x y z (fractional)
1 Al 0.0000 0.0000 0.0000  6 W 2.60
2 Al 0.0000 0.0000 0.5000  6 W 2.60
3 W 0.1699 0.3398 0.2500  4 W 2.54-2.64, 2 Al 2.60
4 W 0.1699 0.8301 0.2500  4 W 2.54-2.64, 2 Al 2.60
5 W 0.3333 0.6667 0.5633  13 W 3.02-3.17, 3 Al 3.03
6 W 0.3333 0.6667 0.9367  13 W 3.02-3.17, 3 Al 3.03
7 W 0.3398 0.1699 0.7500  4 W 2.54-2.64, 2 Al 2.60
8 W 0.6602 0.8301 0.2500  4 W 2.54-2.64, 2 Al 2.60
9 W 0.6667 0.3333 0.0633  13 W 3.02-3.17, 3 Al 3.03
10 W 0.6667 0.3333 0.4367  13 W 3.02-3.17, 3 Al 3.03
11 W 0.8301 0.1699 0.7500  4 W 2.54-2.64, 2 Al 2.60
12 W 0.8301 0.6602 0.7500  4 W 2.54-2.64, 2 Al 2.60

Result of the stability comparison: B is the most stable of them.

--- A ---
A geometry-optimized Al13W16 structure. Source: OQMD, functional PBE-GGA.

Output
- Magnetization: 0.00 μB/f.u.
- Symmetry: I-43m

Cell lengths 8.3887, 8.3887, 8.3887 Å; angles 109.47, 109.47, 109.47 degrees
Last column: nearest neighbours and their distance in Å.
Element x y z (fractional)
1 Al 0.0000 0.0000 0.0000  12 Al 3.04, 4 W 3.04
2 Al 0.0000 0.1893 0.3784  3 Al 2.59, 5 W 2.61-2.79
3 Al 0.0000 0.3784 0.1893  3 Al 2.59, 5 W 2.61-2.79
4 Al 0.1893 0.0000 0.3784  3 Al 2.59, 5 W 2.61-2.79
5 Al 0.1893 0.3784 0.0000  3 Al 2.59, 5 W 2.61-2.79
6 Al 0.1891 0.8107 0.8107  3 Al 2.59, 5 W 2.61-2.79
7 Al 0.3784 0.0000 0.1893  3 Al 2.59, 5 W 2.61-2.79
8 Al 0.3784 0.1893 0.0000  3 Al 2.59, 5 W 2.61-2.79
9 Al 0.6216 0.6216 0.8109  3 Al 2.59, 5 W 2.61-2.79
10 Al 0.6216 0.8109 0.6216  3 Al 2.59, 5 W 2.61-2.79
11 Al 0.8107 0.1891 0.8107  3 Al 2.59, 5 W 2.61-2.79
12 Al 0.8109 0.6216 0.6216  3 Al 2.59, 5 W 2.61-2.79
13 Al 0.8107 0.8107 0.1891  3 Al 2.59, 5 W 2.61-2.79
14 W 0.0000 0.0000 0.6376  3 W 2.71, 6 Al 2.97
15 W 0.0000 0.4136 0.6811  5 Al 2.61-2.79, 3 W 2.71-2.75
16 W 0.0000 0.6376 0.0000  3 W 2.71, 6 Al 2.97
17 W 0.0000 0.6811 0.4136  5 Al 2.61-2.79, 3 W 2.71-2.75
18 W 0.2675 0.5864 0.5864  5 Al 2.61-2.79, 3 W 2.71-2.75
19 W 0.3189 0.3189 0.7325  5 Al 2.61-2.79, 3 W 2.71-2.75
20 W 0.3189 0.7325 0.3189  5 Al 2.61-2.79, 3 W 2.71-2.75
21 W 0.3624 0.3624 0.3624  3 W 2.71, 6 Al 2.97
22 W 0.4136 0.0000 0.6811  5 Al 2.61-2.79, 3 W 2.71-2.75
23 W 0.4136 0.6811 0.0000  5 Al 2.61-2.79, 3 W 2.71-2.75
24 W 0.5864 0.2675 0.5864  5 Al 2.61-2.79, 3 W 2.71-2.75
25 W 0.5864 0.5864 0.2675  5 Al 2.61-2.79, 3 W 2.71-2.75
26 W 0.6376 0.0000 0.0000  3 W 2.71, 6 Al 2.97
27 W 0.6811 0.0000 0.4136  5 Al 2.61-2.79, 3 W 2.71-2.75
28 W 0.6811 0.4136 0.0000  5 Al 2.61-2.79, 3 W 2.71-2.75
29 W 0.7325 0.3189 0.3189  5 Al 2.61-2.79, 3 W 2.71-2.75

--- B ---
A geometry-optimized Al13W16 structure. Source: OQMD, functional PBE-GGA.

Output
- Magnetization: 0.01 μB/f.u.
- Symmetry: I-43m

Cell lengths 8.4769, 8.4769, 8.4769 Å; angles 109.47, 109.47, 109.47 degrees
Last column: nearest neighbours and their distance in Å.
Element x y z (fractional)
1 Al 0.0000 0.0000 0.0000  16 W 3.03-3.05
2 Al 0.0000 0.4057 0.6848  6 W 2.66-2.85, 6 Al 2.87-2.97
3 Al 0.0000 0.6848 0.4057  6 W 2.66-2.85, 6 Al 2.87-2.97
4 Al 0.2791 0.5943 0.5943  6 W 2.66-2.85, 6 Al 2.87-2.97
5 Al 0.3152 0.3152 0.7209  6 W 2.66-2.85, 6 Al 2.87-2.97
6 Al 0.3152 0.7209 0.3152  6 W 2.66-2.85, 6 Al 2.87-2.97
7 Al 0.4057 0.0000 0.6848  6 W 2.66-2.85, 6 Al 2.87-2.97
8 Al 0.4057 0.6848 0.0000  6 W 2.66-2.85, 6 Al 2.87-2.97
9 Al 0.5943 0.2791 0.5943  6 W 2.66-2.85, 6 Al 2.87-2.97
10 Al 0.5943 0.5943 0.2791  6 W 2.66-2.85, 6 Al 2.87-2.97
11 Al 0.6848 0.0000 0.4057  6 W 2.66-2.85, 6 Al 2.87-2.97
12 Al 0.6848 0.4057 0.0000  6 W 2.66-2.85, 6 Al 2.87-2.97
13 Al 0.7209 0.3152 0.3152  6 W 2.66-2.85, 6 Al 2.87-2.97
14 W 0.0000 0.0000 0.6402  4 Al 2.75-3.05, 6 W 2.96
15 W 0.0000 0.1919 0.3725  3 W 2.50-2.66, 3 Al 2.66-2.79
16 W 0.0000 0.3725 0.1919  3 W 2.50-2.66, 3 Al 2.66-2.79
17 W 0.0000 0.6402 0.0000  4 Al 2.75-3.05, 6 W 2.96
18 W 0.1806 0.8081 0.8081  3 W 2.50-2.66, 3 Al 2.66-2.79
19 W 0.1919 0.0000 0.3725  3 W 2.50-2.66, 3 Al 2.66-2.79
20 W 0.1919 0.3725 0.0000  3 W 2.50-2.66, 3 Al 2.66-2.79
21 W 0.3598 0.3598 0.3598  4 Al 2.75-3.05, 6 W 2.96
22 W 0.3725 0.0000 0.1919  3 W 2.50-2.66, 3 Al 2.66-2.79
23 W 0.3725 0.1919 0.0000  3 W 2.50-2.66, 3 Al 2.66-2.79
24 W 0.6275 0.6275 0.8194  3 W 2.50-2.66, 3 Al 2.66-2.79
25 W 0.6275 0.8194 0.6275  3 W 2.50-2.66, 3 Al 2.66-2.79
26 W 0.6402 0.0000 0.0000  4 Al 2.75-3.05, 6 W 2.96
27 W 0.8081 0.1806 0.8081  3 W 2.50-2.66, 3 Al 2.66-2.79
28 W 0.8081 0.8081 0.1806  3 W 2.50-2.66, 3 Al 2.66-2.79
29 W 0.8194 0.6275 0.6275  3 W 2.50-2.66, 3 Al 2.66-2.79

Result of the stability comparison: A is the most stable of them.